Below is RbSc2CdGe after structural relaxation, with properties calculated at the PBE level.

Computed properties:
- M_tot (μB/atom) = 0.195
- calculated formation energy (kJ per mole of atoms) = 22
- volume (Å³ per atom) = 31.70
- N(E_F) (states/eV/cell) = 6.2

abc: 5.311 5.311 5.618
angles: 90.00 90.00 90.00
Fractional positions:
Rb: 0.000 0.000 0.000
Sc: 0.000 0.500 0.500
Sc: 0.500 0.000 0.500
Cd: 0.500 0.500 0.000
Ge: 0.500 0.500 0.500

---

Below is Rb2CdGeSe4 after structural relaxation, with properties calculated at the PBE level.

Computed properties:
- energy relative to the elements, uncorrected (meV per atom) = -774
- M_tot (μB/atom) = 0.000
- volume (Å³ per atom) = 36.26
- N(E_F) (states/eV/cell) = 0.0

abc: 14.402 12.938 7.825
angles: 83.99 63.31 32.70
Fractional positions:
Rb: 0.059 0.059 0.691
Rb: 0.309 0.309 0.941
Rb: 0.691 0.691 0.059
Rb: 0.941 0.941 0.309
Cd: 0.125 0.125 0.125
Cd: 0.875 0.875 0.875
Ge: 0.375 0.375 0.375
Ge: 0.625 0.625 0.625
Se: 0.006 0.637 0.546
Se: 0.311 0.546 0.637
Se: 0.363 0.994 0.689
Se: 0.454 0.689 0.994
Se: 0.546 0.311 0.006
Se: 0.637 0.006 0.311
Se: 0.689 0.454 0.363
Se: 0.994 0.363 0.454

---

Below is Rb2SrCdGe after structural relaxation, with properties calculated at the PBE level.

Computed properties:
- M_tot (μB/atom) = 0.000
- calculated formation energy (kJ per mole of atoms) = 20
- volume (Å³ per atom) = 51.42
- N(E_F) (states/eV/cell) = 3.5

abc: 7.048 7.048 5.175
angles: 90.00 90.00 90.00
Fractional positions:
Rb: 0.000 0.500 0.000
Rb: 0.500 0.000 0.000
Sr: 0.000 0.000 0.500
Cd: 0.500 0.500 0.500
Ge: 0.500 0.500 0.000

---

Below is Rb2CdGeTe4 after structural relaxation, with properties calculated at the PBE level.

Computed properties:
- energy relative to the elements, uncorrected (meV per atom) = -549
- M_tot (μB/atom) = 0.000
- volume (Å³ per atom) = 43.87

abc: 15.414 13.909 8.264
angles: 83.97 63.82 32.22
Fractional positions:
Rb: 0.062 0.062 0.688
Rb: 0.312 0.312 0.938
Rb: 0.688 0.688 0.062
Rb: 0.938 0.938 0.312
Cd: 0.125 0.125 0.125
Cd: 0.875 0.875 0.875
Ge: 0.375 0.375 0.375
Ge: 0.625 0.625 0.625
Te: 0.004 0.355 0.451
Te: 0.310 0.549 0.645
Te: 0.355 0.004 0.690
Te: 0.451 0.690 0.004
Te: 0.549 0.310 0.996
Te: 0.645 0.996 0.310
Te: 0.690 0.451 0.355
Te: 0.996 0.645 0.549

---

Below is CdRe2Ge after structural relaxation, with properties calculated at the PBE level.

Computed properties:
- excess energy over the best structure of this formula in the dataset (meV/atom) = 156
- M_tot (μB/atom) = 0.000
- calculated formation energy (kJ per mole of atoms) = 93
- volume (Å³ per atom) = 18.06
- N(E_F) (states/eV/cell) = 8.0

abc: 5.907 5.907 5.907
angles: 100.67 100.67 129.03
Fractional positions:
Cd: 0.000 0.000 0.000
Cd: 0.750 0.250 0.500
Re: 0.185 0.625 0.060
Re: 0.375 0.435 0.560
Re: 0.565 0.125 0.940
Re: 0.875 0.815 0.440
Ge: 0.250 0.750 0.500
Ge: 0.500 0.500 0.000

---

Below is CdRe2Ge after structural relaxation, with properties calculated at the PBE level.

Computed properties:
- excess energy over the best structure of this formula in the dataset (meV/atom) = 0
- M_tot (μB/atom) = 0.000
- calculated formation energy (kJ per mole of atoms) = 78
- volume (Å³ per atom) = 15.81
- N(E_F) (states/eV/cell) = 5.3

abc: 4.472 4.472 4.472
angles: 60.00 60.00 60.00
Fractional positions:
Cd: 0.000 0.000 0.000
Re: 0.250 0.250 0.250
Re: 0.750 0.750 0.750
Ge: 0.500 0.500 0.500

---

What are the raw total energy values for these records? In order: -3.603, -3.450, -1.626, -3.053, -6.639, -6.796 eV per atom.
What are the theoretical density values for these records? In order: 3.8, 3.8, 2.9, 4.1, 12.8, 14.6 g cm⁻³.